VASP calculation (PBE-GGA) on a relaxed structure of CuSbTeAs.

formation energy from raw total energies = -0.08 eV/f.u.
total magnetic moment = 0.000 μB/cell
energy = -4.021 eV/atom

a = 3.9834 Å, b = 3.9834 Å, c = 46.6618 Å
α = 90.00°, β = 90.00°, γ = 120.00°
Space group R-3m (No. 166, hexagonal axes)
Asymmetric unit:
Cu (0.0000, 0.0000, 0.1819) (multiplicity 6)
Sb (0.0000, 0.0000, 0.3967) (multiplicity 6)
Te (0.0000, 0.0000, 0.1257) (multiplicity 6)
As (0.0000, 0.0000, 0.3014) (multiplicity 6)



VASP calculation (PBE-GGA) on a relaxed structure of CuSbTe2As.

excess energy over the best structure of this formula in the dataset = 295 meV/atom
formation energy from raw total energies = 4.37 eV/f.u.
total magnetic moment = 0.000 μB/cell
energy = -2.955 eV/atom

a = 5.5331 Å, b = 5.5331 Å, c = 5.2012 Å
α = 90.00°, β = 90.00°, γ = 90.00°
Space group P4/mmm (No. 123)
Asymmetric unit:
Cu (0.0000, 0.0000, 0.0000) (multiplicity 1)
Sb (0.5000, 0.5000, 0.0000) (multiplicity 1)
Te (0.0000, 0.5000, 0.5000) (multiplicity 2)
As (0.5000, 0.5000, 0.5000) (multiplicity 1)